Density functional theory data (GGA-PBE) for crystalline Er2Be2GaPt5 at its relaxed geometry.

Cell and atoms, written as POSCAR:
```
Er2Be2GaPt5
1.0
9.460 0.000 0.000
0.000 9.460 0.000
0.000 0.000 3.520
Er Be Ga Pt
4 4 2 10
Direct
0.178 0.322 0.000
0.322 0.822 0.000
0.678 0.178 0.000
0.822 0.678 0.000
0.119 0.619 0.000
0.381 0.119 0.000
0.619 0.881 0.000
0.881 0.381 0.000
0.000 0.000 0.000
0.500 0.500 0.000
0.000 0.500 0.500
0.067 0.787 0.500
0.213 0.067 0.500
0.287 0.567 0.500
0.433 0.287 0.500
0.500 0.000 0.500
0.567 0.713 0.500
0.713 0.433 0.500
0.787 0.933 0.500
0.933 0.213 0.500
```

Calculated values
SG = P4/mbm (127)
M_tot = 0.00 Bohr magnetons per cell
volume = 15.751 Å³/atom
E_form = -1009.6 meV per atom